(i)
NbMo2P GGA-PBE relaxed; space group = Fm-3m (225); total magnetic moment = 0.000 μB/atom; theoretical density = 8.64 g/cm3
1.0
0.0000 3.1187 3.1187
3.1187 0.0000 3.1187
3.1187 3.1187 0.0000
Nb Mo P
1 2 1
direct
0.5000 0.5000 0.5000 Nb
0.2500 0.2500 0.2500 Mo
0.7500 0.7500 0.7500 Mo
0.0000 0.0000 0.0000 P


(ii)
NbMo2P GGA-PBE relaxed; space group = Cmcm (63); total magnetic moment = 0.000 μB/atom; theoretical density = 8.54 g/cm3
1.0
-1.3561 0.6733 2.9572
2.2528 -4.5712 0.2072
6.5333 3.3213 2.2399
Mo Nb P
4 2 2
direct
0.6390 0.2778 0.4509 Mo
0.3610 0.7222 0.9509 Mo
0.6390 0.2778 0.0491 Mo
0.3610 0.7222 0.5491 Mo
0.0595 0.1184 0.7500 Nb
0.9405 0.8816 0.2500 Nb
0.2301 0.4600 0.2500 P
0.7699 0.5400 0.7500 P


(iii)
NbMo2P GGA-PBE relaxed; space group = I-42d (122); total magnetic moment = 0.000 μB/atom; theoretical density = 7.86 g/cm3
1.0
3.7606 0.0000 0.0000
0.0000 3.7606 0.0000
1.8803 1.8803 9.4346
Nb Mo P
2 4 2
direct
0.7500 0.2500 0.5000 Nb
0.0000 0.0000 0.0000 Nb
0.3750 0.4104 0.7500 Mo
0.5896 0.1250 0.2500 Mo
0.1604 0.6250 0.2500 Mo
0.8750 0.8396 0.7500 Mo
0.5000 0.5000 0.0000 P
0.2500 0.7500 0.5000 P


Energies in kJ/mol of atoms, measured from the most stable structure: (i) 43.9; (ii) 0.0; (iii) 68.5.


(i)
NbMoP2S GGA-PBE relaxed; space group = P4/mmm (123); total magnetic moment = 0.544 μB/atom; theoretical density = 4.66 g/cm3
1.0
4.6618 0.0000 0.0000
0.0000 4.6618 0.0000
0.0000 0.0000 4.6351
P Mo S Nb
2 1 1 1
direct
0.0000 0.5000 0.0000 P
0.5000 0.0000 0.0000 P
0.0000 0.0000 0.0000 Mo
0.0000 0.0000 0.5000 S
0.5000 0.5000 0.5000 Nb


(ii)
NbMoP2S GGA-PBE relaxed; space group = P4/mmm (123); total magnetic moment = 0.706 μB/atom; theoretical density = 4.28 g/cm3
1.0
4.8287 0.0000 0.0000
0.0000 4.8287 0.0000
0.0000 0.0000 4.7116
P Nb S Mo
2 1 1 1
direct
0.5000 0.0000 0.0000 P
0.0000 0.5000 0.0000 P
0.0000 0.0000 0.0000 Nb
0.0000 0.0000 0.5000 S
0.5000 0.5000 0.5000 Mo


Energies in kJ/mol of atoms, measured from the most stable structure: (i) 0.0; (ii) 6.0.


(i)
PaNb2Mo GGA-PBE relaxed; space group = Fm-3m (225); total magnetic moment = 0.000 μB/atom; theoretical density = 11.29 g/cm3
1.0
-2.1674 -3.8989 1.6101
2.4673 -4.0040 0.6099
0.9088 -1.5818 4.3776
Mo Nb Pa
1 2 1
direct
0.5000 0.5000 0.5000 Mo
0.2500 0.2500 0.2500 Nb
0.7500 0.7500 0.7500 Nb
0.0000 0.0000 0.0000 Pa


(ii)
PaNb2Mo GGA-PBE relaxed; space group = P4/mmm (123); total magnetic moment = 0.000 μB/atom; theoretical density = 11.13 g/cm3
1.0
-2.1494 -2.5785 -0.1016
2.5373 -2.1358 0.5287
-0.9501 0.5283 6.6943
Mo Pa Nb
1 1 2
direct
0.5000 0.5000 0.0000 Mo
0.5000 0.5000 0.5000 Pa
0.0000 0.0000 0.2343 Nb
0.0000 0.0000 0.7657 Nb


(iii)
PaNb2Mo GGA-PBE relaxed; space group = P4/mmm (123); total magnetic moment = 0.000 μB/atom; theoretical density = 11.13 g/cm3
1.0
-0.6720 2.4329 -2.1714
-4.6803 -0.9709 0.3606
-0.3697 3.1251 3.6159
Nb Pa Mo
2 1 1
direct
0.0000 0.5000 0.0000 Nb
0.0000 0.0000 0.5000 Nb
0.5000 0.0000 0.0000 Pa
0.5000 0.5000 0.5000 Mo


Energies in kJ/mol of atoms, measured from the most stable structure: (i) 0.0; (ii) 5.5; (iii) 13.5.


(i)
PaNbMo2 GGA-PBE relaxed; space group = P4/mmm (123); total magnetic moment = 0.000 μB/atom; theoretical density = 11.50 g/cm3
1.0
3.3490 0.0000 0.0000
0.0000 3.3490 0.0000
0.0000 0.0000 6.6395
Pa Mo Nb
1 2 1
direct
0.5000 0.5000 0.5000 Pa
0.0000 0.0000 0.7562 Mo
0.0000 0.0000 0.2438 Mo
0.5000 0.5000 0.0000 Nb


(ii)
PaNbMo2 GGA-PBE relaxed; space group = Fm-3m (225); total magnetic moment = 0.000 μB/atom; theoretical density = 11.55 g/cm3
1.0
4.7160 0.0000 0.0000
2.3580 4.0842 0.0000
2.3580 1.3614 3.8506
Mo Pa Nb
2 1 1
direct
0.7500 0.7500 0.7500 Mo
0.2500 0.2500 0.2500 Mo
0.5000 0.5000 0.5000 Pa
0.0000 0.0000 0.0000 Nb


Energies in kJ/mol of atoms, measured from the most stable structure: (i) 6.6; (ii) 0.0.


(i)
Pa2NbMo GGA-PBE relaxed; space group = P4/mmm (123); total magnetic moment = 0.000 μB/atom; theoretical density = 12.49 g/cm3
1.0
3.4970 0.0000 0.0000
0.0000 3.4970 0.0000
0.0000 0.0000 7.0744
Nb Mo Pa
1 1 2
direct
0.5000 0.5000 0.5000 Nb
0.5000 0.5000 0.0000 Mo
0.0000 0.0000 0.2427 Pa
0.0000 0.0000 0.7573 Pa


(ii)
Pa2NbMo GGA-PBE relaxed; space group = Fm-3m (225); total magnetic moment = 0.000 μB/atom; theoretical density = 12.54 g/cm3
1.0
-4.7496 1.1335 0.8623
-2.2677 -1.7390 4.0522
-1.1806 3.0858 3.6974
Nb Mo Pa
1 1 2
direct
0.0000 0.0000 0.0000 Nb
0.5000 0.5000 0.5000 Mo
0.7500 0.7500 0.7500 Pa
0.2500 0.2500 0.2500 Pa


(iii)
Pa2NbMo GGA-PBE relaxed; space group = R-3m (166); total magnetic moment = 0.000 μB/atom; theoretical density = 12.57 g/cm3
1.0
-2.2519 1.9312 -0.8745
-2.9425 -0.6320 0.7124
-0.7000 5.6670 8.8489
Nb Pa Mo
1 2 1
direct
0.0000 0.0000 0.0000 Nb
0.0917 0.0917 0.7249 Pa
0.9083 0.9083 0.2751 Pa
0.5000 0.5000 0.5000 Mo


Energies in kJ/mol of atoms, measured from the most stable structure: (i) 0.0; (ii) 1.0; (iii) 24.6.


(i)
NbMo3Pb GGA-PBE relaxed; space group = Pm-3m (221); total magnetic moment = 0.301 μB/atom; theoretical density = 8.66 g/cm3
1.0
-3.9422 -1.1395 -2.5485
1.4988 -4.5843 -0.2688
-2.3551 -1.0101 4.0948
Mo Pb Nb
3 1 1
direct
0.5000 0.0000 0.0000 Mo
0.0000 0.5000 0.0000 Mo
0.0000 0.0000 0.5000 Mo
0.5000 0.5000 0.5000 Pb
0.0000 0.0000 0.0000 Nb


(ii)
NbMo3Pb GGA-PBE relaxed; space group = Pm-3m (221); total magnetic moment = 0.000 μB/atom; theoretical density = 8.20 g/cm3
1.0
4.9186 0.0000 0.0000
0.0000 4.9186 0.0000
0.0000 0.0000 4.9186
Mo Nb Pb
3 1 1
direct
0.0000 0.0000 0.5000 Mo
0.5000 0.0000 0.0000 Mo
0.0000 0.5000 0.0000 Mo
0.5000 0.5000 0.5000 Nb
0.0000 0.0000 0.0000 Pb


Energies in kJ/mol of atoms, measured from the most stable structure: (i) 0.0; (ii) 87.0.


(i)
NbMoPd2 GGA-PBE relaxed; space group = I-42d (122); total magnetic moment = 0.000 μB/atom; theoretical density = 9.64 g/cm3
1.0
7.2123 0.0000 0.0000
0.0000 7.2123 0.0000
3.6062 3.6062 2.6606
Nb Pd Mo
2 4 2
direct
0.5000 0.5000 0.0000 Nb
0.2500 0.7500 0.5000 Nb
0.1215 0.6250 0.2500 Pd
0.8750 0.8785 0.7500 Pd
0.6285 0.1250 0.2500 Pd
0.3750 0.3715 0.7500 Pd
0.0000 0.0000 0.0000 Mo
0.7500 0.2500 0.5000 Mo


(ii)
NbMoPd2 GGA-PBE relaxed; space group = R-3m (166); total magnetic moment = 0.000 μB/atom; theoretical density = 10.39 g/cm3
1.0
-0.7343 -1.8330 -1.9959
1.7293 -2.1055 -0.6773
-3.7477 -6.7532 5.6058
Nb Pd Mo
1 2 1
direct
0.5000 0.5000 0.5000 Nb
0.7485 0.7485 0.7544 Pd
0.2515 0.2515 0.2456 Pd
0.0000 0.0000 0.0000 Mo


Energies in kJ/mol of atoms, measured from the most stable structure: (i) 36.2; (ii) 0.0.


(i)
NbMo2Pd GGA-PBE relaxed; space group = Fm-3m (225); total magnetic moment = 0.000 μB/atom; theoretical density = 9.92 g/cm3
1.0
0.0000 3.1994 3.1994
3.1994 0.0000 3.1994
3.1994 3.1994 0.0000
Nb Mo Pd
1 2 1
direct
0.0000 0.0000 0.0000 Nb
0.7500 0.7500 0.7500 Mo
0.2500 0.2500 0.2500 Mo
0.5000 0.5000 0.5000 Pd


(ii)
NbMo2Pd GGA-PBE relaxed; space group = I-42d (122); total magnetic moment = 0.000 μB/atom; theoretical density = 9.26 g/cm3
1.0
3.7817 0.0000 0.0000
0.0000 3.7817 0.0000
1.8908 1.8908 9.8101
Mo Pd Nb
4 2 2
direct
0.6100 0.1250 0.2500 Mo
0.3750 0.3900 0.7500 Mo
0.8750 0.8600 0.7500 Mo
0.1400 0.6250 0.2500 Mo
0.0000 0.0000 0.0000 Pd
0.7500 0.2500 0.5000 Pd
0.2500 0.7500 0.5000 Nb
0.5000 0.5000 0.0000 Nb


Energies in kJ/mol of atoms, measured from the most stable structure: (i) 0.0; (ii) 30.2.


(i)
NbMoPd GGA-PBE relaxed; space group = P2_1/m (11); total magnetic moment = 0.000 μB/atom; theoretical density = 10.01 g/cm3
1.0
2.7696 0.0000 0.0047
0.0000 4.5233 0.0000
-0.6217 0.0000 7.8173
Pd Nb Mo
2 2 2
direct
0.5631 0.2500 0.0997 Pd
0.4369 0.7500 0.9003 Pd
0.0106 0.7500 0.2298 Nb
0.9894 0.2500 0.7702 Nb
0.3319 0.2500 0.4295 Mo
0.6681 0.7500 0.5705 Mo


(ii)
NbMoPd GGA-PBE relaxed; space group = C2 (5); total magnetic moment = 0.000 μB/atom; theoretical density = 9.94 g/cm3
1.0
-3.6248 -4.0607 -1.2917
-0.7801 -0.8794 4.9537
-2.3247 7.7953 1.0177
Pd Nb Mo
4 4 4
direct
0.0038 0.8068 0.1680 Pd
0.9962 0.8068 0.8320 Pd
0.9962 0.3068 0.3320 Pd
0.0038 0.3068 0.6680 Pd
0.5000 0.5992 0.5000 Nb
0.5000 0.0992 0.0000 Nb
0.0000 0.8326 0.5000 Nb
0.0000 0.3326 0.0000 Nb
0.5109 0.1074 0.6765 Mo
0.4891 0.6074 0.8235 Mo
0.5109 0.6074 0.1765 Mo
0.4891 0.1074 0.3235 Mo


(iii)
NbMoPd GGA-PBE relaxed; space group = Cm (8); total magnetic moment = 0.000 μB/atom; theoretical density = 9.93 g/cm3
1.0
-3.7473 0.7921 4.9861
-2.7051 -0.0956 -2.0178
1.3034 -9.6062 -1.2923
Nb Pd Mo
4 4 4
direct
0.9580 0.0000 0.8808 Nb
0.3113 0.0000 0.5489 Nb
0.9580 0.5000 0.3808 Nb
0.3113 0.5000 0.0489 Nb
0.1395 0.0000 0.2165 Pd
0.8016 0.0000 0.5630 Pd
0.1395 0.5000 0.7165 Pd
0.8016 0.5000 0.0630 Pd
0.6234 0.0000 0.2315 Mo
0.4718 0.0000 0.8887 Mo
0.6234 0.5000 0.7315 Mo
0.4718 0.5000 0.3887 Mo


(iv)
NbMoPd GGA-PBE relaxed; space group = I4mm (107); total magnetic moment = 0.000 μB/atom; theoretical density = 9.74 g/cm3
1.0
-1.6488 1.8808 2.1843
-2.5436 -2.1331 -0.0833
3.9608 -2.2315 2.3869
Nb Pd Mo
1 1 1
direct
0.6746 0.6746 0.3493 Nb
0.0002 0.0002 0.0005 Pd
0.3251 0.3251 0.6502 Mo


Energies in kJ/mol of atoms, measured from the most stable structure: (i) 0.0; (ii) 11.9; (iii) 11.4; (iv) 27.7.


(i)
Nb2TeMoPd GGA-PBE relaxed; space group = P4/mmm (123); total magnetic moment = 0.000 μB/atom; theoretical density = 7.45 g/cm3
1.0
4.8882 0.0000 0.0000
0.0000 4.8098 0.0000
0.0000 0.0000 4.8882
Nb Mo Te Pd
2 1 1 1
direct
0.0000 0.0000 0.5000 Nb
0.5000 0.0000 0.0000 Nb
0.0000 0.5000 0.0000 Mo
0.5000 0.5000 0.5000 Te
0.0000 0.0000 0.0000 Pd


(ii)
Nb2TeMoPd GGA-PBE relaxed; space group = P4/mmm (123); total magnetic moment = 0.000 μB/atom; theoretical density = 7.44 g/cm3
1.0
-3.4492 2.9939 1.4650
-0.7089 -2.8118 4.0770
3.2631 2.6032 2.3627
Mo Nb Pd Te
1 2 1 1
direct
0.0000 0.0000 0.0000 Mo
0.5000 0.0000 0.0000 Nb
0.0000 0.0000 0.5000 Nb
0.0000 0.5000 0.0000 Pd
0.5000 0.5000 0.5000 Te


Energies in kJ/mol of atoms, measured from the most stable structure: (i) 23.1; (ii) 0.0.


(i)
NbMo3Pt GGA-PBE relaxed; space group = Pm-3m (221); total magnetic moment = 0.000 μB/atom; theoretical density = 9.38 g/cm3
1.0
-2.9761 3.3869 -1.2236
-2.6481 -0.9825 3.7213
2.4405 3.0642 2.5457
Nb Pt Mo
1 1 3
direct
0.0000 0.0000 0.0000 Nb
0.5000 0.5000 0.5000 Pt
0.0000 0.5000 0.0000 Mo
0.0000 0.0000 0.5000 Mo
0.5000 0.0000 0.0000 Mo


(ii)
NbMo3Pt GGA-PBE relaxed; space group = Pm-3m (221); total magnetic moment = 0.000 μB/atom; theoretical density = 9.00 g/cm3
1.0
4.7363 0.0000 0.0000
0.0000 4.7363 0.0000
0.0000 0.0000 4.7363
Mo Nb Pt
3 1 1
direct
0.5000 0.0000 0.0000 Mo
0.0000 0.5000 0.0000 Mo
0.0000 0.0000 0.5000 Mo
0.5000 0.5000 0.5000 Nb
0.0000 0.0000 0.0000 Pt


Energies in kJ/mol of atoms, measured from the most stable structure: (i) 5.6; (ii) 0.0.